# 1
ZnNiAgHg2: optimized geometry, PBE-GGA.

Its density is 8481 kg/m3. The density of states at the Fermi level is 1.9 states/eV per cell. The value obtained for the uncorrected energy is -1.652 eV per atom. As for the volume: 24.8 A^3/atom. Its formation energy from the elements is 450 meV per atom.

It has space group P4/mmm (No. 123), with a = 4.976 Å, b = 4.976 Å, c = 5.007 Å, α = 90.00°, β = 90.00° and γ = 90.00°. The asymmetric unit holds Zn at (0.000, 0.000, 0.000), Ni at (0.500, 0.500, 0.500), Ag at (0.500, 0.500, 0.000) and Hg at (0.000, 0.500, 0.500).

# 2
NpAgHg2O6: optimized geometry, PBE-GGA.

Its density is 8333 kg/m3. The value obtained for the uncorrected energy is -5.821 eV per atom. As for the volume: 16.8 A^3/atom.

It has space group P-1 (No. 2), with a = 5.463 Å, b = 6.232 Å, c = 6.355 Å, α = 100.67°, β = 114.21° and γ = 111.91°. The asymmetric unit holds Np at (0.000, 0.000, 0.000), Ag at (0.000, 0.500, 0.500), Hg at (0.477, 0.658, 0.238), O at (0.101, 0.388, 0.220), O at (0.144, 0.141, 0.780) and O at (0.399, 0.081, 0.231).

# 3
NpAgHgO5: optimized geometry, PBE-GGA.

Its density is 7276 kg/m3. The value obtained for the uncorrected energy is -6.595 eV per atom. As for the volume: 17.8 A^3/atom.

It has space group C2/c (No. 15), with a = 7.097 Å, b = 11.113 Å, c = 7.929 Å, α = 90.00°, β = 114.06° and γ = 90.00°. The asymmetric unit holds Np at (0.250, 0.250, 0.000), Ag at (0.000, 0.018, 0.250), Hg at (0.000, 0.421, 0.250), O at (0.000, 0.296, 0.750), O at (0.072, 0.162, 0.071) and O at (0.194, 0.415, 0.120).

# 4
Np3AgHg3Se8: optimized geometry, PBE-GGA.

Its density is 6637 kg/m3. The density of states at the Fermi level is 42.1 states/eV per cell. The value obtained for the uncorrected energy is -5.260 eV per atom. As for the volume: 34.2 A^3/atom.

It has space group C2/m (No. 12), with a = 13.836 Å, b = 7.979 Å, c = 10.383 Å, α = 90.00°, β = 116.39° and γ = 90.00°. The asymmetric unit holds Np at (0.000, 0.000, 0.000), Np at (0.250, 0.250, 0.000), Ag at (0.000, 0.500, 0.000), Hg at (0.000, 0.500, 0.500), Hg at (0.250, 0.250, 0.500), Se at (0.031, 0.239, 0.831), Se at (0.223, 0.000, 0.170) and Se at (0.231, 0.500, 0.169).

# 5
NpAgSnHg: optimized geometry, PBE-GGA.

Its density is 11616 kg/m3. The density of states at the Fermi level is 37.7 states/eV per cell. The value obtained for the uncorrected energy is -4.927 eV per atom. As for the volume: 23.7 A^3/atom. Its formation energy from the elements is 97 meV per atom.

It has space group F-43m (No. 216), with a = 7.242 Å, b = 7.242 Å, c = 7.242 Å, α = 90.00°, β = 90.00° and γ = 90.00°. The asymmetric unit holds Np at (0.000, 0.000, 0.000), Ag at (0.000, 0.000, 0.500), Sn at (0.250, 0.250, 0.250) and Hg at (0.250, 0.250, 0.750).

# 6
NpTlAgHg: optimized geometry, PBE-GGA.

Its density is 12969 kg/m3. The density of states at the Fermi level is 41.6 states/eV per cell. The value obtained for the uncorrected energy is -4.375 eV per atom. As for the volume: 24.0 A^3/atom. Its formation energy from the elements is 240 meV per atom.

It has space group F-43m (No. 216), with a = 7.269 Å, b = 7.269 Å, c = 7.269 Å, α = 90.00°, β = 90.00° and γ = 90.00°. The asymmetric unit holds Np at (0.000, 0.000, 0.000), Tl at (0.250, 0.250, 0.250), Ag at (0.000, 0.000, 0.500) and Hg at (0.250, 0.250, 0.750).